1.
Material: KPr2TlO5
Method: DFT, GGA-PBE
State: optimized geometry

a b c (Å): 6.9470 6.9470 7.9771
angles (deg): 115.81 115.81 90.00
Closest atoms and distances in Å follow each position.
Positions (direct):
K 0.7500 0.7500 0.5000  10 O 3.14, 4 Tl 3.47
Pr 0.3224 0.8224 0.0000  4 O 2.33-2.56
O 0.0000 0.0000 0.0000  4 Pr 2.56
Tl 0.7500 0.2500 0.5000  4 O 2.15
O 0.9781 0.4781 0.2400  1 Tl 2.15, 1 Pr 2.33
Tl 0.2500 0.7500 0.5000  4 O 2.15
Pr 0.8224 0.6776 0.0000  4 O 2.33-2.56
O 0.2381 0.0219 0.7600  1 Tl 2.15, 1 Pr 2.33
O 0.4781 0.2619 0.2400  1 Tl 2.15, 1 Pr 2.33
O 0.5219 0.7381 0.7600  1 Tl 2.15, 1 Pr 2.33
O 0.7381 0.2381 0.7600  1 Tl 2.15, 1 Pr 2.33
O 0.2619 0.7619 0.2400  1 Tl 2.15, 1 Pr 2.33
Pr 0.1776 0.3224 0.0000  4 O 2.33-2.56
Pr 0.6776 0.1776 0.0000  4 O 2.33-2.56
O 0.7619 0.9781 0.2400  1 Tl 2.15, 1 Pr 2.33
O 0.5000 0.5000 0.0000  4 Pr 2.56
K 0.2500 0.2500 0.5000  10 O 3.14, 4 Tl 3.47
O 0.0219 0.5219 0.7600  1 Tl 2.15, 1 Pr 2.33

Properties
Formation energy (no corrections): -2.1824 eV per atom
Total magnetic moment: 0.00 μB/f.u.
E: -57.46 eV/f.u.

=====

2.
Material: K3Pr2TlO6
Method: DFT, GGA-PBE
State: optimized geometry

a b c (Å): 6.2593 6.2593 6.6626
angles (deg): 98.94 98.94 120.01
Closest atoms and distances in Å follow each position.
Positions (direct):
K 0.8389 0.1611 0.5000  6 O 2.80-2.89
O 0.7347 0.7347 0.1962  1 Tl 2.41, 2 Pr 2.44
O 0.9345 0.6036 0.8026  1 Tl 2.42, 2 Pr 2.44
Pr 0.6670 0.3330 0.0000  6 O 2.44
O 0.2653 0.2653 0.8038  1 Tl 2.41, 2 Pr 2.44
Tl 0.0000 0.0000 0.0000  6 O 2.41-2.42
K 0.5000 0.5000 0.5000  6 O 2.83-2.85
K 0.1611 0.8389 0.5000  6 O 2.80-2.89
Pr 0.3330 0.6670 0.0000  6 O 2.44
O 0.0655 0.3964 0.1974  1 Tl 2.42, 2 Pr 2.44
O 0.3964 0.0655 0.1974  1 Tl 2.42, 2 Pr 2.44
O 0.6036 0.9345 0.8026  1 Tl 2.42, 2 Pr 2.44

Properties
Formation energy (no corrections): -2.0328 eV per atom
Total magnetic moment: 0.00 μB/f.u.
E: -69.36 eV/f.u.

=====

3.
Material: K3PrTm2O6
Method: DFT, GGA-PBE
State: optimized geometry

a b c (Å): 6.0775 6.0775 6.5889
angles (deg): 98.83 98.83 120.01
Closest atoms and distances in Å follow each position.
Positions (direct):
Tm 0.3333 0.6667 0.0000  6 O 2.29-2.30
O 0.9382 0.5883 0.8145  2 Tm 2.29, 1 Pr 2.42
O 0.4117 0.0618 0.1855  2 Tm 2.29, 1 Pr 2.42
O 0.2880 0.2880 0.8140  2 Tm 2.30, 1 Pr 2.43
Pr 0.0000 0.0000 0.0000  6 O 2.42-2.43
O 0.0618 0.4117 0.1855  2 Tm 2.29, 1 Pr 2.42
K 0.5000 0.5000 0.5000  6 O 2.75-2.87
Tm 0.6667 0.3333 0.0000  6 O 2.29-2.30
O 0.5883 0.9382 0.8145  2 Tm 2.29, 1 Pr 2.42
K 0.8312 0.1688 0.5000  6 O 2.74-2.88
O 0.7120 0.7120 0.1860  2 Tm 2.30, 1 Pr 2.43
K 0.1688 0.8312 0.5000  6 O 2.74-2.88

Properties
Formation energy (no corrections): -2.7262 eV per atom
Total magnetic moment: 0.00 μB/f.u.
E: -79.48 eV/f.u.

=====

4.
Material: K2PrTmO4
Method: DFT, GGA-PBE
State: optimized geometry

a b c (Å): 3.5522 6.1554 6.6089
angles (deg): 108.04 90.00 90.00
Closest atoms and distances in Å follow each position.
Positions (direct):
Pr 0.5000 0.5000 0.0000  6 O 2.41-2.43
O 0.0000 0.2546 0.8109  1 Tm 2.29, 2 Pr 2.41
O 0.5000 0.2158 0.1857  2 Tm 2.33, 1 Pr 2.43
K 0.0000 0.5000 0.5000  6 O 2.88-2.90
O 0.5000 0.7842 0.8143  2 Tm 2.33, 1 Pr 2.43
Tm 0.0000 0.0000 0.0000  6 O 2.29-2.33
O 0.0000 0.7454 0.1891  1 Tm 2.29, 2 Pr 2.41
K 0.5000 0.0000 0.5000  6 O 2.79-2.80

Properties
Formation energy (no corrections): -2.6762 eV per atom
Total magnetic moment: 0.00 μB/f.u.
E: -52.69 eV/f.u.

=====

5.
Material: K2PrUO6
Method: DFT, GGA-PBE
State: optimized geometry

a b c (Å): 6.2760 6.2764 6.2755
angles (deg): 60.00 60.00 90.00
Closest atoms and distances in Å follow each position.
Positions (direct):
K 0.7503 0.2499 0.4999  12 O 3.14
K 0.2497 0.7501 0.5001  12 O 3.14
O 0.2668 0.2668 0.0003  1 U 2.07
O 0.7332 0.7331 0.5339  1 U 2.07
O 0.2669 0.7330 0.0001  1 U 2.07
O 0.2668 0.2669 0.4661  1 U 2.07
U 0.5000 0.5000 0.0000  6 O 2.07
Pr 0.0000 0.0000 0.0000  6 O 2.37
O 0.7331 0.2670 0.9999  1 U 2.07
O 0.7332 0.7332 0.9997  1 U 2.07

Properties
Formation energy (no corrections): -2.6156 eV per atom
Total magnetic moment: 0.65 μB/f.u.
E: -74.17 eV/f.u.

=====

6.
Material: K2PrU3O12
Method: DFT, GGA-PBE
State: optimized geometry

a b c (Å): 7.2130 7.2130 7.2130
angles (deg): 70.11 70.11 70.11
Closest atoms and distances in Å follow each position.
Positions (direct):
U 0.5000 0.0000 0.0000  2 O 1.92
K 0.3788 0.3788 0.3788  3 O 2.69
U 0.0000 0.0000 0.5000  2 O 1.92
O 0.2564 0.9108 0.2564  2 U 2.16
O 0.2564 0.2564 0.9108  2 U 2.16
O 0.4067 0.8699 0.8699  1 U 1.92
U 0.0000 0.5000 0.0000  2 O 1.92
Pr 0.0000 0.0000 0.0000  12 O 2.69-2.82
O 0.7436 0.0892 0.7436  2 U 2.16
O 0.8699 0.4067 0.8699  1 U 1.92
K 0.6212 0.6212 0.6212  3 O 2.69
O 0.1301 0.5933 0.1301  1 U 1.92
O 0.5933 0.1301 0.1301  1 U 1.92
O 0.1301 0.1301 0.5933  1 U 1.92
O 0.7436 0.7436 0.0892  2 U 2.16
O 0.0892 0.7436 0.7436  2 U 2.16
O 0.8699 0.8699 0.4067  1 U 1.92
O 0.9108 0.2564 0.2564  2 U 2.16

Properties
Formation energy (no corrections): -2.8136 eV per atom
Total magnetic moment: 0.00 μB/f.u.
E: -150.98 eV/f.u.

=====

7.
Material: KPr2UO6
Method: DFT, GGA-PBE
State: optimized geometry

a b c (Å): 6.0339 5.5025 5.5025
angles (deg): 90.00 90.00 90.00
Closest atoms and distances in Å follow each position.
Positions (direct):
Pr 0.9840 0.0000 0.5000  4 O 2.38
K 0.5172 0.5000 0.5000  5 O 2.48-2.53
O 0.1067 0.5000 0.5000  1 K 2.48
O 0.7568 0.7665 0.7665  1 U 2.07
O 0.7568 0.2335 0.2335  1 U 2.07
O 0.2358 0.0000 0.0000  1 U 2.15
O 0.7568 0.7665 0.2335  1 U 2.07
O 0.7568 0.2335 0.7665  1 U 2.07
U 0.5920 0.0000 0.0000  5 O 2.07-2.15
Pr 0.9840 0.5000 0.0000  4 O 2.38

Properties
Formation energy (no corrections): -2.7020 eV per atom
Total magnetic moment: 1.01 μB/f.u.
E: -78.71 eV/f.u.

=====

8.
Material: K2Pr2UO6
Method: DFT, GGA-PBE
State: optimized geometry

a b c (Å): 6.2798 6.2798 6.7022
angles (deg): 98.51 98.51 119.95
Closest atoms and distances in Å follow each position.
Positions (direct):
K 0.8346 0.1654 0.0000  6 O 2.84-3.03
O 0.9541 0.6289 0.3230  1 U 2.31, 2 Pr 2.38-2.46
Pr 0.3340 0.6660 0.5000  6 O 2.38-2.48
O 0.6289 0.9541 0.3230  1 U 2.31, 2 Pr 2.38-2.46
K 0.1654 0.8346 0.0000  6 O 2.84-3.03
O 0.2428 0.2428 0.3238  1 U 2.19
O 0.3711 0.0459 0.6770  1 U 2.31, 2 Pr 2.38-2.46
U 0.0000 0.0000 0.5000  6 O 2.19-2.31
Pr 0.6660 0.3340 0.5000  6 O 2.38-2.48
O 0.7572 0.7572 0.6762  1 U 2.19
O 0.0459 0.3711 0.6770  1 U 2.31, 2 Pr 2.38-2.46

Properties
Formation energy (no corrections): -2.7298 eV per atom
Total magnetic moment: 2.02 μB/f.u.
E: -82.82 eV/f.u.